(1)
DFT (GGA-PBE) results for a relaxed structure of ZnCrCoAs2.

Unit cell a=4.5175 b=4.5175 c=4.5478 alpha=90.00 beta=90.00 gamma=90.00
Last column: nearest neighbours and their distance in Å.
Space group P4/mmm (No. 123)
Unique sites:
Zn (0.0000, 0.0000, 0.0000)  2 Co 2.27
Cr (0.5000, 0.5000, 0.0000)  4 Zn 3.19, 8 As 3.21
Co (0.0000, 0.0000, 0.5000)  4 As 2.26, 2 Zn 2.27
As (0.0000, 0.5000, 0.5000)  2 Co 2.26

Results
Density of states at the Fermi level in states/eV/atom: 0.6869
Total DFT energy (no corrections) in eV/atom: -5.00


(2)
DFT (GGA-PBE) results for a relaxed structure of CsCo2As2.

Unit cell a=3.7018 b=3.7018 c=8.0443 alpha=90.00 beta=90.00 gamma=90.00
Last column: nearest neighbours and their distance in Å.
Space group P4/mmm (No. 123)
Unique sites:
Cs (0.0000, 0.0000, 0.0000)  8 As 3.64, 4 Cs 3.70
Co (0.0000, 0.5000, 0.5000)  4 As 2.38, 4 Co 2.62
As (0.5000, 0.5000, 0.3143)  4 Co 2.38

Results
Density of states at the Fermi level in states/eV/atom: 0.9179
Total DFT energy (no corrections) in eV/atom: -5.02


(3)
DFT (GGA-PBE) results for a relaxed structure of CsCo2As2.

Unit cell a=4.2743 b=4.2743 c=13.3024 alpha=90.00 beta=90.00 gamma=90.00
Last column: nearest neighbours and their distance in Å.
Space group I4/mmm (No. 139)
Unique sites:
Cs (0.0000, 0.0000, 0.0000)  10 Co 3.84-4.29, 8 As 3.95, 4 Cs 4.27
Co (0.0000, 0.0000, 0.3223)  4 As 2.34
As (0.0000, 0.5000, 0.2500)  4 Co 2.34

Results
Density of states at the Fermi level in states/eV/atom: 0.7337
Total DFT energy (no corrections) in eV/atom: -4.76


(4)
DFT (GGA-PBE) results for a relaxed structure of CsCo3As.

Unit cell a=4.7641 b=4.7641 c=4.7641 alpha=90.00 beta=90.00 gamma=90.00
Last column: nearest neighbours and their distance in Å.
Space group Pm-3m (No. 221)
Unique sites:
Cs (0.0000, 0.0000, 0.0000)  6 Co 2.38
Co (0.0000, 0.0000, 0.5000)  2 Cs 2.38
As (0.5000, 0.5000, 0.5000)  12 Co 3.37

Results
Energy relative to the lowest polymorph listed for this composition in meV/atom: 1588.7
Density of states at the Fermi level in states/eV/atom: 1.1167
Total DFT energy (no corrections) in eV/atom: -2.94


(5)
DFT (GGA-PBE) results for a relaxed structure of CsCo3As.

Unit cell a=4.7030 b=4.7030 c=4.7030 alpha=90.00 beta=90.00 gamma=90.00
Last column: nearest neighbours and their distance in Å.
Space group Pm-3m (No. 221)
Unique sites:
Cs (0.0000, 0.0000, 0.0000)  12 Co 3.33
Co (0.0000, 0.5000, 0.5000)  2 As 2.35
As (0.5000, 0.5000, 0.5000)  6 Co 2.35

Results
Energy relative to the lowest polymorph listed for this composition in meV/atom: 0.0
Density of states at the Fermi level in states/eV/atom: 4.1567
Total DFT energy (no corrections) in eV/atom: -4.53


(6)
DFT (GGA-PBE) results for a relaxed structure of CsCo2As2.

Unit cell a=3.8205 b=3.8205 c=15.1096 alpha=90.00 beta=90.00 gamma=90.00
Last column: nearest neighbours and their distance in Å.
Space group I4/mmm (No. 139)
Unique sites:
Cs (0.0000, 0.0000, 0.0000)  8 As 3.66, 4 Cs 3.82
Co (0.0000, 0.5000, 0.2500)  4 As 2.32
As (0.0000, 0.0000, 0.3367)  4 Co 2.32

Results
Density of states at the Fermi level in states/eV/atom: 0.3326
Total DFT energy (no corrections) in eV/atom: -5.27